(1)
The following is a DFT calculation (PBE) of a relaxed Y6NiHg2 crystal.

Cell lengths 6.8929, 7.3305, 12.3018 Å; angles 90.00, 123.99, 90.00 degrees
Sites, in units of the cell vectors:
Y  0.1341  0.1969  0.4519
Y  0.1341  0.3031  0.9519
Y  0.2565  0.6927  0.4464
Y  0.2565  0.8073  0.9464
Y  0.3620  0.0107  0.2475
Y  0.3620  0.4893  0.7475
Y  0.6380  0.5107  0.2525
Y  0.6380  0.9893  0.7525
Y  0.7435  0.1927  0.0536
Y  0.7435  0.3073  0.5536
Y  0.8659  0.6969  0.0481
Y  0.8659  0.8031  0.5481
Ni  0.5000  0.0000  0.5000
Ni  0.5000  0.5000  0.0000
Hg  0.2067  0.0894  0.7488
Hg  0.2067  0.4106  0.2488
Hg  0.7933  0.5894  0.7512
Hg  0.7933  0.9106  0.2512

Output
- Energy relative to the elements: -266.4 meV per atom
- Energy: -5.285 eV/atom



(2)
The following is a DFT calculation (PBE) of a relaxed Y2NiHg crystal.

Cell lengths 5.8245, 5.8245, 5.8245 Å; angles 136.92, 136.92, 62.56 degrees
Sites, in units of the cell vectors:
Y  0.0000  0.0000  0.0000
Y  0.7500  0.2500  0.5000
Ni  0.5000  0.5000  0.0000
Hg  0.2500  0.7500  0.5000

Output
- Energy relative to the elements: -156.1 meV per atom
- Energy: -4.909 eV/atom



(3)
The following is a DFT calculation (PBE) of a relaxed Y5NiHg4 crystal.

Cell lengths 3.6301, 3.6301, 18.7402 Å; angles 90.00, 90.00, 90.00 degrees
Sites, in units of the cell vectors:
Y  0.0000  0.0000  0.0000
Y  0.0000  0.0000  0.2066
Y  0.0000  0.0000  0.4143
Y  0.0000  0.0000  0.5857
Y  0.0000  0.0000  0.7934
Ni  0.5000  0.5000  0.5000
Hg  0.5000  0.5000  0.1031
Hg  0.5000  0.5000  0.3083
Hg  0.5000  0.5000  0.6917
Hg  0.5000  0.5000  0.8969

Output
- Energy relative to the elements: -465.9 meV per atom
- Energy: -4.397 eV/atom



(4)
The following is a DFT calculation (PBE) of a relaxed Y2NiHg crystal.

Cell lengths 5.0549, 5.0549, 3.5947 Å; angles 90.00, 90.00, 90.00 degrees
Sites, in units of the cell vectors:
Y  0.0000  0.5000  0.0000
Y  0.5000  0.0000  0.0000
Ni  0.0000  0.0000  0.5000
Hg  0.5000  0.5000  0.5000

Output
- Energy relative to the elements: -361.3 meV per atom
- Energy: -5.114 eV/atom



(5)
The following is a DFT calculation (PBE) of a relaxed Y2NiHg crystal.

Cell lengths 3.8345, 4.5233, 5.7758 Å; angles 90.00, 109.25, 90.00 degrees
Sites, in units of the cell vectors:
Y  0.0000  0.0000  0.0000
Y  0.2879  0.5000  0.5767
Ni  0.7265  0.0000  0.4559
Hg  0.5712  0.5000  0.1418

Output
- Energy relative to the elements: -378.0 meV per atom
- Energy: -5.131 eV/atom



(6)
The following is a DFT calculation (PBE) of a relaxed Zn2NiHg crystal.

Cell lengths 8.8060, 8.8060, 8.8060 Å; angles 19.24, 19.24, 19.24 degrees
Sites, in units of the cell vectors:
Zn  0.0000  0.0000  0.0000
Zn  0.2505  0.2505  0.2505
Ni  0.7362  0.7362  0.7362
Hg  0.4869  0.4869  0.4869

Output
- Energy relative to the elements: 166.9 meV per atom
- Energy: -1.991 eV/atom